## SnTeOs (PBE-GGA)

Data for a geometry-optimized SnTeOs structure.

Properties
As for the space group: F-43m (216). The calculation puts the calculated density at 10.8 g/cm³. The value obtained for the calculated total energy is -5.87 eV/atom. The value obtained for the calculated volume is 67 Å³/cell.

a = 4.5664 Å, b = 4.5664 Å, c = 4.5664 Å
α = 60.00°, β = 60.00°, γ = 60.00°
Last column: nearest neighbours and their distance in Å.
Atoms (fractional coordinates):
Te (0.7500, 0.7500, 0.7500)  4 Os 2.80
Os (0.0000, 0.0000, 0.0000)  4 Sn 2.80, 4 Te 2.80
Sn (0.2500, 0.2500, 0.2500)  4 Os 2.80